The following is a PBE calculation of a relaxed structure of MgMnPt3, from the Alexandria database.

Results
V = 19.368 Å³ per atom
distance to the lowest polymorph of the same formula = 0.0 kJ per mole of atoms
E = -26.172 eV/cell
Fermi-level density of states = 5.2 states/eV/cell

The structure in CIF format:
```
data_MgMnPt3
_symmetry_space_group_name_H-M 'P m -3 m'
_symmetry_Int_Tables_number 221
_symmetry_space_group_name_Hall '-P 4 2 3'
_cell_length_a 4.592
_cell_length_b 4.592
_cell_length_c 4.592
_cell_angle_alpha 90.00
_cell_angle_beta 90.00
_cell_angle_gamma 90.00
loop_
_atom_site_label
_atom_site_type_symbol
_atom_site_fract_x
_atom_site_fract_y
_atom_site_fract_z
Mg1 Mg 0.000 0.000 0.000
Mn1 Mn 0.500 0.500 0.500
Pt1 Pt 0.000 0.500 0.500
```